# 1
# Ac4Ir2Au

Crystalline Ac4Ir2Au at its relaxed geometry (PBE-GGA, OQMD).

Summary:
Electronic total energy in Ha/atom: -0.222
ΔH_f (0 K) in meV per atom: -711
Space-group type: Cmcm (63)
ρ in Mg/m³: 10.8

Unit cell a=7.4871 b=7.4871 c=14.7253 alpha=90.00 beta=90.00 gamma=146.16
With the nearest neighbours (Å) after each atom.
Atoms (fractional coordinates):
Ac 0.0000 0.0000 0.0000  4 Ir 3.05
Ac 0.0000 0.0000 0.5000  4 Ir 3.05
Ac 0.2686 0.7314 0.6121  3 Ir 2.99-3.00
Ac 0.2686 0.7314 0.8879  3 Ir 2.99-3.00
Ac 0.4506 0.5494 0.2500  2 Ir 2.95, 2 Au 3.22
Ac 0.5494 0.4506 0.7500  2 Ir 2.95, 2 Au 3.22
Ac 0.7314 0.2686 0.1121  3 Ir 2.99-3.00
Ac 0.7314 0.2686 0.3879  3 Ir 2.99-3.00
Ir 0.3679 0.6321 0.0661  6 Ac 2.95-3.05
Ir 0.3679 0.6321 0.4339  6 Ac 2.95-3.05
Ir 0.6321 0.3679 0.5661  6 Ac 2.95-3.05
Ir 0.6321 0.3679 0.9339  6 Ac 2.95-3.05
Au 0.1158 0.8842 0.2500  6 Ac 3.22-3.41
Au 0.8842 0.1158 0.7500  6 Ac 3.22-3.41

# 2
# AcIrAu

Crystalline AcIrAu at its relaxed geometry (PBE-GGA, OQMD).

Summary:
Electronic total energy in Ha/atom: -0.191
ΔH_f (0 K) in meV per atom: 220
Space-group type: F-43m (216)
E above lowest polymorph in meV per atom: 328
ρ in Mg/m³: 11.9

Unit cell a=7.0121 b=7.0121 c=7.0121 alpha=90.00 beta=90.00 gamma=90.00
With the nearest neighbours (Å) after each atom.
Atoms (fractional coordinates):
Ac 0.0000 0.0000 0.0000  4 Ir 3.04, 4 Au 3.04
Ac 0.0000 0.5000 0.5000  4 Ir 3.04, 4 Au 3.04
Ac 0.5000 0.0000 0.5000  4 Ir 3.04, 4 Au 3.04
Ac 0.5000 0.5000 0.0000  4 Ir 3.04, 4 Au 3.04
Ir 0.2500 0.2500 0.2500  4 Ac 3.04
Ir 0.2500 0.7500 0.7500  4 Ac 3.04
Ir 0.7500 0.2500 0.7500  4 Ac 3.04
Ir 0.7500 0.7500 0.2500  4 Ac 3.04
Au 0.2500 0.2500 0.7500  4 Ac 3.04
Au 0.2500 0.7500 0.2500  4 Ac 3.04
Au 0.7500 0.2500 0.2500  4 Ac 3.04
Au 0.7500 0.7500 0.7500  4 Ac 3.04

# 3
# AcIrAu

Crystalline AcIrAu at its relaxed geometry (PBE-GGA, OQMD).

Summary:
Electronic total energy in Ha/atom: -0.203
ΔH_f (0 K) in meV per atom: -108
Space-group type: F-43m (216)
E above lowest polymorph in meV per atom: 0
ρ in Mg/m³: 12.8

Unit cell a=6.8325 b=6.8325 c=6.8325 alpha=90.00 beta=90.00 gamma=90.00
With the nearest neighbours (Å) after each atom.
Atoms (fractional coordinates):
Ac 0.0000 0.0000 0.0000  4 Au 2.96
Ac 0.0000 0.5000 0.5000  4 Au 2.96
Ac 0.5000 0.0000 0.5000  4 Au 2.96
Ac 0.5000 0.5000 0.0000  4 Au 2.96
Ir 0.0000 0.0000 0.5000  4 Au 2.96
Ir 0.0000 0.5000 0.0000  4 Au 2.96
Ir 0.5000 0.0000 0.0000  4 Au 2.96
Ir 0.5000 0.5000 0.5000  4 Au 2.96
Au 0.2500 0.2500 0.2500  4 Ac 2.96, 4 Ir 2.96
Au 0.2500 0.7500 0.7500  4 Ac 2.96, 4 Ir 2.96
Au 0.7500 0.2500 0.7500  4 Ac 2.96, 4 Ir 2.96
Au 0.7500 0.7500 0.2500  4 Ac 2.96, 4 Ir 2.96

# 4
# Li2AcAu2

Crystalline Li2AcAu2 at its relaxed geometry (PBE-GGA, OQMD).

Summary:
Electronic total energy in Ha/atom: -0.130
Space-group type: I4/mmm (139)
ρ in Mg/m³: 9.4

Unit cell a=4.1581 b=4.1581 c=12.9723 alpha=90.00 beta=90.00 gamma=90.00
With the nearest neighbours (Å) after each atom.
Atoms (fractional coordinates):
Li 0.0000 0.5000 0.2500  4 Au 2.72, 4 Li 2.94
Li 0.0000 0.5000 0.7500  4 Au 2.72, 4 Li 2.94
Li 0.5000 0.0000 0.2500  4 Au 2.72, 4 Li 2.94
Li 0.5000 0.0000 0.7500  4 Au 2.72, 4 Li 2.94
Ac 0.0000 0.0000 0.0000  8 Au 3.30
Ac 0.5000 0.5000 0.5000  8 Au 3.30
Au 0.0000 0.0000 0.3852  4 Li 2.72, 1 Au 2.98
Au 0.0000 0.0000 0.6148  4 Li 2.72, 1 Au 2.98
Au 0.5000 0.5000 0.1148  4 Li 2.72, 1 Au 2.98
Au 0.5000 0.5000 0.8852  4 Li 2.72, 1 Au 2.98

# 5
# LiAcAu

Crystalline LiAcAu at its relaxed geometry (PBE-GGA, OQMD).

Summary:
Electronic total energy in Ha/atom: -0.114
Space-group type: F-43m (216)
ρ in Mg/m³: 7.5

Unit cell a=7.2673 b=7.2673 c=7.2673 alpha=90.00 beta=90.00 gamma=90.00
With the nearest neighbours (Å) after each atom.
Atoms (fractional coordinates):
Li 0.0000 0.0000 0.0000  4 Ac 3.15
Li 0.0000 0.5000 0.5000  4 Ac 3.15
Li 0.5000 0.0000 0.5000  4 Ac 3.15
Li 0.5000 0.5000 0.0000  4 Ac 3.15
Ac 0.2500 0.2500 0.7500  4 Li 3.15, 4 Au 3.15
Ac 0.2500 0.7500 0.2500  4 Li 3.15, 4 Au 3.15
Ac 0.7500 0.2500 0.2500  4 Li 3.15, 4 Au 3.15
Ac 0.7500 0.7500 0.7500  4 Au 3.15, 4 Li 3.15
Au 0.0000 0.0000 0.5000  4 Ac 3.15
Au 0.0000 0.5000 0.0000  4 Ac 3.15
Au 0.5000 0.0000 0.0000  4 Ac 3.15
Au 0.5000 0.5000 0.5000  4 Ac 3.15

# 6
# Li2AcAu4

Crystalline Li2AcAu4 at its relaxed geometry (PBE-GGA, OQMD).

Summary:
Electronic total energy in Ha/atom: -0.135
Space-group type: I4/mmm (139)
ρ in Mg/m³: 11.8

Unit cell a=7.3432 b=7.3432 c=5.3878 alpha=90.00 beta=90.00 gamma=90.00
With the nearest neighbours (Å) after each atom.
Atoms (fractional coordinates):
Li 0.0000 0.5000 0.2500  2 Li 2.69, 8 Au 2.97
Li 0.0000 0.5000 0.7500  2 Li 2.69, 8 Au 2.97
Li 0.5000 0.0000 0.2500  2 Li 2.69, 8 Au 2.97
Li 0.5000 0.0000 0.7500  2 Li 2.69, 8 Au 2.97
Ac 0.0000 0.0000 0.0000  12 Au 3.14-3.39
Ac 0.5000 0.5000 0.5000  12 Au 3.14-3.39
Au 0.1977 0.1977 0.5000  4 Au 2.90, 4 Li 2.97, 1 Ac 3.14
Au 0.1977 0.8023 0.5000  4 Au 2.90, 4 Li 2.97, 1 Ac 3.14
Au 0.3023 0.3023 0.0000  4 Au 2.90, 4 Li 2.97, 1 Ac 3.14
Au 0.3023 0.6977 0.0000  4 Au 2.90, 4 Li 2.97, 1 Ac 3.14
Au 0.6977 0.3023 0.0000  4 Au 2.90, 4 Li 2.97, 1 Ac 3.14
Au 0.6977 0.6977 0.0000  4 Au 2.90, 4 Li 2.97, 1 Ac 3.14
Au 0.8023 0.1977 0.5000  4 Au 2.90, 4 Li 2.97, 1 Ac 3.14
Au 0.8023 0.8023 0.5000  4 Au 2.90, 4 Li 2.97, 1 Ac 3.14

# 7
# Li4AcAu2

Crystalline Li4AcAu2 at its relaxed geometry (PBE-GGA, OQMD).

Summary:
Electronic total energy in Ha/atom: -0.114
Space-group type: P4_2/mnm (136)
ρ in Mg/m³: 7.6

Unit cell a=8.0971 b=8.0971 c=4.3490 alpha=90.00 beta=90.00 gamma=90.00
With the nearest neighbours (Å) after each atom.
Atoms (fractional coordinates):
Li 0.0932 0.3486 0.0000  3 Au 2.72, 6 Li 2.88-2.98
Li 0.1514 0.5932 0.5000  3 Au 2.72, 6 Li 2.88-2.98
Li 0.3486 0.0932 0.0000  3 Au 2.72, 6 Li 2.88-2.98
Li 0.4068 0.8486 0.5000  3 Au 2.72, 6 Li 2.88-2.98
Li 0.5932 0.1514 0.5000  3 Au 2.72, 6 Li 2.88-2.98
Li 0.6514 0.9068 0.0000  3 Au 2.72, 6 Li 2.88-2.98
Li 0.8486 0.4068 0.5000  3 Au 2.72, 6 Li 2.88-2.98
Li 0.9068 0.6514 0.0000  3 Au 2.72, 6 Li 2.88-2.98
Ac 0.0000 0.0000 0.5000  6 Au 3.27-3.28, 12 Li 3.51-3.64
Ac 0.5000 0.5000 0.0000  6 Au 3.27-3.28, 12 Li 3.51-3.64
Au 0.2146 0.7854 0.0000  6 Li 2.72
Au 0.2854 0.2854 0.5000  6 Li 2.72
Au 0.7146 0.7146 0.5000  6 Li 2.72
Au 0.7854 0.2146 0.0000  6 Li 2.72

# 8
# AcMgAu

Crystalline AcMgAu at its relaxed geometry (PBE-GGA, OQMD).

Summary:
Electronic total energy in Ha/atom: -0.132
Space-group type: Pnma (62)
E above lowest polymorph in meV per atom: 0
ρ in Mg/m³: 9.2

Unit cell a=7.6345 b=4.7449 c=8.9476 alpha=90.00 beta=90.00 gamma=90.00
With the nearest neighbours (Å) after each atom.
Atoms (fractional coordinates):
Ac 0.0364 0.2500 0.1802  5 Au 3.20-3.36, 3 Mg 3.46-3.58
Ac 0.4636 0.7500 0.6802  5 Au 3.20-3.36, 3 Mg 3.46-3.58
Ac 0.5364 0.2500 0.3198  5 Au 3.20-3.36, 3 Mg 3.46-3.58
Ac 0.9636 0.7500 0.8198  5 Au 3.20-3.36, 3 Mg 3.46-3.58
Mg 0.1352 0.2500 0.5582  4 Au 2.86-3.06
Mg 0.3648 0.7500 0.0582  4 Au 2.86-3.06
Mg 0.6352 0.2500 0.9418  4 Au 2.86-3.06
Mg 0.8648 0.7500 0.4418  4 Au 2.86-3.06
Au 0.2333 0.7500 0.3818  4 Mg 2.86-3.06, 1 Ac 3.20
Au 0.2667 0.2500 0.8818  4 Mg 2.86-3.06, 1 Ac 3.20
Au 0.7333 0.7500 0.1182  4 Mg 2.86-3.06, 1 Ac 3.20
Au 0.7667 0.2500 0.6182  4 Mg 2.86-3.06, 1 Ac 3.20